[1]
# Hf2AlPb

Crystalline Hf2AlPb at its relaxed geometry (GGA-PBE, the Alexandria database). Values from VASP.

Values from the calculation:
DOS(E_F) (states/eV per atom): 0.53
Space group: I-42d, No. 122
Energy of formation from the pure elements (eV per atom): 0.1970
Total magnetization (μB/cell): 0.00

The structure in Quantum ESPRESSO input format:
```
&SYSTEM
  ibrav = 0, nat = 8, ntyp = 3
/
ATOMIC_SPECIES
Pb 207.20 Pb.upf
Hf 178.49 Hf.upf
Al 26.98 Al.upf
CELL_PARAMETERS angstrom
-2.756 5.420 4.858
-6.965 -3.472 -0.078
-4.040 -0.724 4.750
ATOMIC_POSITIONS angstrom
Pb 0.000 0.000 0.000
Hf -11.464 1.198 7.745
Hf -5.736 -1.617 1.796
Hf -6.748 0.151 5.354
Hf -3.575 2.716 4.164
Pb -5.828 2.835 5.999
Al -4.861 0.974 2.390
Al -7.933 -1.611 3.531
```

---

[2]
# GeBiTe2

Crystalline GeBiTe2 at its relaxed geometry (GGA-PBE, the Alexandria database). Values from VASP.

Values from the calculation:
DOS(E_F) (states/eV per atom): 0.42
Space group: R-3m, No. 166
Total magnetization (μB/cell): 0.00
Formation energy from raw total energies (eV per atom): 0.12

The structure in Quantum ESPRESSO input format:
```
&SYSTEM
  ibrav = 0, nat = 4, ntyp = 3
/
ATOMIC_SPECIES
Bi 208.98 Bi.upf
Ge 72.64 Ge.upf
Te 127.60 Te.upf
CELL_PARAMETERS angstrom
-3.159 2.698 8.846
0.710 3.615 9.052
-1.850 6.154 7.363
ATOMIC_POSITIONS angstrom
Bi 0.000 0.000 0.000
Ge -2.150 6.233 12.630
Te -3.839 11.132 22.556
Te -0.460 1.335 2.704
```